No. 1
First-principles (GGA-PBE) data for a relaxed Ho7Ag2Hg2 crystal, as listed in Alexandria.

Unit cell a=6.596 b=6.596 c=7.868 alpha=90.00 beta=90.00 gamma=110.78
Sites, in units of the cell vectors:
Ho 0.000 0.000 0.000
Ho 0.000 0.500 0.290
Ho 0.000 0.500 0.710
Ho 0.500 0.000 0.290
Ho 0.500 0.000 0.710
Ho 0.500 0.500 0.273
Ho 0.500 0.500 0.727
Ag 0.182 0.182 0.500
Ag 0.818 0.818 0.500
Hg 0.295 0.705 0.000
Hg 0.705 0.295 0.000

Calculated values
formation energy from the elements	-7.3	meV/atom
symmetry	Cmmm

***

No. 2
First-principles (GGA-PBE) data for a relaxed Ho2Ag3Hg2 crystal, as listed in Alexandria.

Unit cell a=10.490 b=10.490 c=3.323 alpha=90.00 beta=90.00 gamma=154.67
Sites, in units of the cell vectors:
Ho 0.147 0.853 0.000
Ho 0.853 0.147 0.000
Ag 0.000 0.000 0.000
Ag 0.433 0.567 0.500
Ag 0.567 0.433 0.500
Hg 0.292 0.708 0.500
Hg 0.708 0.292 0.500

Calculated values
formation energy from the elements	-190.1	meV/atom
symmetry	Cmmm

***

No. 3
First-principles (GGA-PBE) data for a relaxed Ho8Ag2Hg crystal, as listed in Alexandria.

Unit cell a=8.375 b=8.375 c=8.332 alpha=118.91 beta=118.91 gamma=36.67
Sites, in units of the cell vectors:
Ho 0.068 0.068 0.220
Ho 0.140 0.140 0.693
Ho 0.317 0.317 0.541
Ho 0.402 0.402 0.042
Ho 0.598 0.598 0.958
Ho 0.683 0.683 0.459
Ho 0.860 0.860 0.307
Ho 0.932 0.932 0.780
Ag 0.223 0.223 0.116
Ag 0.777 0.777 0.884
Hg 0.500 0.500 0.500

Calculated values
energy above the lowest structure with this stoichiometry	0.006	eV per atom
formation energy from the elements	-162.6	meV/atom
symmetry	C2/m

***

No. 4
First-principles (GGA-PBE) data for a relaxed Ho4AgHg3 crystal, as listed in Alexandria.

Unit cell a=3.678 b=3.678 c=14.781 alpha=90.00 beta=90.00 gamma=90.00
Sites, in units of the cell vectors:
Ho 0.000 0.000 0.120
Ho 0.000 0.000 0.373
Ho 0.000 0.000 0.627
Ho 0.000 0.000 0.880
Ag 0.500 0.500 0.000
Hg 0.500 0.500 0.247
Hg 0.500 0.500 0.500
Hg 0.500 0.500 0.753

Calculated values
energy above the lowest structure with this stoichiometry	0.000	eV per atom
formation energy from the elements	-443.5	meV/atom
symmetry	P4/mmm

***

No. 5
First-principles (GGA-PBE) data for a relaxed Ho3Ag2Hg crystal, as listed in Alexandria.

Unit cell a=5.162 b=5.162 c=6.308 alpha=90.00 beta=90.00 gamma=120.00
Sites, in units of the cell vectors:
Ho 0.000 0.000 0.000
Ho 0.333 0.667 0.672
Ho 0.667 0.333 0.328
Ag 0.333 0.667 0.170
Ag 0.667 0.333 0.830
Hg 0.000 0.000 0.500

Calculated values
energy above the lowest structure with this stoichiometry	0.000	eV per atom
formation energy from the elements	-382.3	meV/atom
symmetry	P-3m1

***

No. 6
First-principles (GGA-PBE) data for a relaxed Ho2AgHg2 crystal, as listed in Alexandria.

Unit cell a=7.917 b=7.917 c=3.964 alpha=90.00 beta=90.00 gamma=90.00
Sites, in units of the cell vectors:
Ho 0.165 0.335 0.000
Ho 0.335 0.835 0.000
Ho 0.665 0.165 0.000
Ho 0.835 0.665 0.000
Ag 0.000 0.000 0.500
Ag 0.500 0.500 0.500
Hg 0.136 0.636 0.500
Hg 0.364 0.136 0.500
Hg 0.636 0.864 0.500
Hg 0.864 0.364 0.500

Calculated values
energy above the lowest structure with this stoichiometry	0.000	eV per atom
formation energy from the elements	-342.7	meV/atom
symmetry	P4/mbm

***

No. 7
First-principles (GGA-PBE) data for a relaxed HoAg2Hg crystal, as listed in Alexandria.

Unit cell a=5.199 b=5.199 c=4.573 alpha=115.83 beta=115.83 gamma=52.22
Sites, in units of the cell vectors:
Ho 0.000 0.000 0.000
Ag 0.250 0.250 0.748
Ag 0.500 0.500 0.500
Hg 0.750 0.750 0.253

Calculated values
formation energy from the elements	-267.2	meV/atom
symmetry	Cm

***

No. 8
First-principles (GGA-PBE) data for a relaxed Ho3AgHg4 crystal, as listed in Alexandria.

Unit cell a=3.948 b=4.503 c=11.546 alpha=82.34 beta=83.27 gamma=88.28
Sites, in units of the cell vectors:
Ho 0.000 0.000 0.000
Ho 0.402 0.907 0.286
Ho 0.598 0.093 0.714
Ag 0.500 0.500 0.000
Hg 0.062 0.552 0.809
Hg 0.209 0.713 0.554
Hg 0.791 0.287 0.446
Hg 0.938 0.448 0.191

Calculated values
energy above the lowest structure with this stoichiometry	0.014	eV per atom
formation energy from the elements	-280.5	meV/atom
symmetry	P-1

***

No. 9
First-principles (GGA-PBE) data for a relaxed Ho2Ag3Hg crystal, as listed in Alexandria.

Unit cell a=9.783 b=9.783 c=9.783 alpha=157.13 beta=156.61 gamma=32.94
Sites, in units of the cell vectors:
Ho 0.000 0.000 0.000
Ho 0.738 0.238 0.500
Ag 0.166 0.666 0.500
Ag 0.313 0.813 0.500
Ag 0.570 0.570 0.000
Hg 0.417 0.417 0.000

Calculated values
energy above the lowest structure with this stoichiometry	0.103	eV per atom
formation energy from the elements	-192.9	meV/atom
symmetry	Imm2

***

No. 10
First-principles (GGA-PBE) data for a relaxed Ho4AgHg7 crystal, as listed in Alexandria.

Unit cell a=6.992 b=6.992 c=10.598 alpha=118.30 beta=118.30 gamma=44.66
Sites, in units of the cell vectors:
Ho 0.079 0.079 0.276
Ho 0.236 0.236 0.814
Ho 0.764 0.764 0.186
Ho 0.921 0.921 0.724
Ag 0.500 0.500 0.500
Hg 0.000 0.000 0.500
Hg 0.141 0.141 0.035
Hg 0.308 0.308 0.579
Hg 0.424 0.424 0.161
Hg 0.576 0.576 0.839
Hg 0.692 0.692 0.421
Hg 0.859 0.859 0.965

Calculated values
formation energy from the elements	-241.2	meV/atom
symmetry	C2/m

***

No. 11
First-principles (GGA-PBE) data for a relaxed Ho2AgHg3 crystal, as listed in Alexandria.

Unit cell a=9.801 b=9.150 c=5.947 alpha=77.79 beta=65.84 gamma=36.37
Sites, in units of the cell vectors:
Ho 0.249 0.751 0.751
Ho 0.250 0.250 0.250
Ho 0.750 0.750 0.750
Ho 0.751 0.249 0.249
Ag 0.167 0.167 0.833
Ag 0.833 0.833 0.167
Hg 0.162 0.670 0.330
Hg 0.330 0.838 0.162
Hg 0.331 0.331 0.669
Hg 0.669 0.669 0.331
Hg 0.670 0.162 0.838
Hg 0.838 0.330 0.670

Calculated values
formation energy from the elements	-362.5	meV/atom
symmetry	Fmmm

***

No. 12
First-principles (GGA-PBE) data for a relaxed Ho3Ag2Hg7 crystal, as listed in Alexandria.

Unit cell a=4.994 b=3.498 c=16.873 alpha=90.00 beta=96.50 gamma=90.00
Sites, in units of the cell vectors:
Ho 0.000 0.000 0.000
Ho 0.298 0.500 0.623
Ho 0.702 0.500 0.377
Ag 0.165 0.000 0.293
Ag 0.835 0.000 0.707
Hg 0.105 0.500 0.148
Hg 0.233 0.000 0.456
Hg 0.369 0.000 0.790
Hg 0.500 0.500 0.000
Hg 0.631 0.000 0.210
Hg 0.767 0.000 0.544
Hg 0.895 0.500 0.852

Calculated values
formation energy from the elements	-209.0	meV/atom
symmetry	P2/m

***

No. 13
First-principles (GGA-PBE) data for a relaxed Ho2Ag2Hg3 crystal, as listed in Alexandria.

Unit cell a=5.576 b=5.576 c=7.150 alpha=103.85 beta=103.85 gamma=48.56
Sites, in units of the cell vectors:
Ho 0.117 0.117 0.248
Ho 0.883 0.883 0.752
Ag 0.383 0.383 0.070
Ag 0.617 0.617 0.930
Hg 0.182 0.182 0.700
Hg 0.500 0.500 0.500
Hg 0.818 0.818 0.300

Calculated values
formation energy from the elements	-286.3	meV/atom
symmetry	C2/m

***

No. 14
First-principles (GGA-PBE) data for a relaxed Ho5Ag4Hg crystal, as listed in Alexandria.

Unit cell a=3.629 b=3.629 c=18.260 alpha=90.00 beta=90.00 gamma=90.00
Sites, in units of the cell vectors:
Ho 0.000 0.000 0.000
Ho 0.000 0.000 0.199
Ho 0.000 0.000 0.397
Ho 0.000 0.000 0.603
Ho 0.000 0.000 0.801
Ag 0.500 0.500 0.099
Ag 0.500 0.500 0.298
Ag 0.500 0.500 0.702
Ag 0.500 0.500 0.901
Hg 0.500 0.500 0.500

Calculated values
formation energy from the elements	-360.4	meV/atom
symmetry	P4/mmm

***

No. 15
First-principles (GGA-PBE) data for a relaxed Ho3Ag4Hg2 crystal, as listed in Alexandria.

Unit cell a=5.891 b=5.891 c=9.102 alpha=117.21 beta=117.21 gamma=47.99
Sites, in units of the cell vectors:
Ho 0.000 0.000 0.000
Ho 0.335 0.335 0.331
Ho 0.665 0.665 0.669
Ag 0.052 0.052 0.389
Ag 0.271 0.271 0.941
Ag 0.729 0.729 0.059
Ag 0.948 0.948 0.611
Hg 0.386 0.386 0.721
Hg 0.614 0.614 0.279

Calculated values
energy above the lowest structure with this stoichiometry	0.000	eV per atom
formation energy from the elements	-310.7	meV/atom
symmetry	C2/m

***

No. 16
First-principles (GGA-PBE) data for a relaxed Ho5AgHg4 crystal, as listed in Alexandria.

Unit cell a=3.686 b=3.686 c=18.447 alpha=90.00 beta=90.00 gamma=90.00
Sites, in units of the cell vectors:
Ho 0.000 0.000 0.000
Ho 0.000 0.000 0.202
Ho 0.000 0.000 0.404
Ho 0.000 0.000 0.596
Ho 0.000 0.000 0.798
Ag 0.500 0.500 0.500
Hg 0.500 0.500 0.101
Hg 0.500 0.500 0.302
Hg 0.500 0.500 0.698
Hg 0.500 0.500 0.899

Calculated values
formation energy from the elements	-449.4	meV/atom
symmetry	P4/mmm

***

No. 17
First-principles (GGA-PBE) data for a relaxed Ho3Ag2Hg4 crystal, as listed in Alexandria.

Unit cell a=5.955 b=5.955 c=9.096 alpha=117.72 beta=117.72 gamma=48.66
Sites, in units of the cell vectors:
Ho 0.000 0.000 0.000
Ho 0.333 0.333 0.335
Ho 0.667 0.667 0.665
Ag 0.391 0.391 0.722
Ag 0.609 0.609 0.278
Hg 0.061 0.061 0.390
Hg 0.287 0.287 0.947
Hg 0.713 0.713 0.053
Hg 0.939 0.939 0.610

Calculated values
energy above the lowest structure with this stoichiometry	0.008	eV per atom
formation energy from the elements	-359.2	meV/atom
symmetry	C2/m

***

No. 18
First-principles (GGA-PBE) data for a relaxed Ho2AgHg2 crystal, as listed in Alexandria.

Unit cell a=7.818 b=7.818 c=7.818 alpha=129.41 beta=69.71 gamma=135.38
Sites, in units of the cell vectors:
Ho 0.166 0.235 0.401
Ho 0.334 0.735 0.069
Ho 0.666 0.265 0.931
Ho 0.834 0.765 0.599
Ag 0.250 0.250 0.000
Ag 0.750 0.750 0.000
Hg 0.097 0.666 0.763
Hg 0.403 0.166 0.569
Hg 0.597 0.834 0.431
Hg 0.903 0.334 0.237

Calculated values
energy above the lowest structure with this stoichiometry	0.101	eV per atom
formation energy from the elements	-242.1	meV/atom
symmetry	Ibam

***

No. 19
First-principles (GGA-PBE) data for a relaxed Ho3Ag2Hg4 crystal, as listed in Alexandria.

Unit cell a=5.246 b=5.246 c=9.007 alpha=96.69 beta=96.69 gamma=58.77
Sites, in units of the cell vectors:
Ho 0.000 0.000 0.000
Ho 0.370 0.370 0.276
Ho 0.630 0.630 0.724
Ag 0.282 0.282 0.597
Ag 0.718 0.718 0.403
Hg 0.046 0.046 0.344
Hg 0.321 0.321 0.922
Hg 0.679 0.679 0.078
Hg 0.954 0.954 0.656

Calculated values
energy above the lowest structure with this stoichiometry	0.000	eV per atom
formation energy from the elements	-367.0	meV/atom
symmetry	C2/m

***

No. 20
First-principles (GGA-PBE) data for a relaxed Ho5Ag2Hg12 crystal, as listed in Alexandria.

Unit cell a=8.379 b=8.379 c=7.360 alpha=92.26 beta=92.26 gamma=63.38
Sites, in units of the cell vectors:
Ho 0.000 0.000 0.000
Ho 0.254 0.254 0.935
Ho 0.322 0.322 0.454
Ho 0.678 0.678 0.546
Ho 0.746 0.746 0.065
Ag 0.272 0.728 0.500
Ag 0.728 0.272 0.500
Hg 0.037 0.636 0.738
Hg 0.112 0.112 0.590
Hg 0.153 0.611 0.152
Hg 0.364 0.963 0.262
Hg 0.389 0.847 0.848
Hg 0.460 0.460 0.791
Hg 0.540 0.540 0.209
Hg 0.611 0.153 0.152
Hg 0.636 0.037 0.738
Hg 0.847 0.389 0.848
Hg 0.888 0.888 0.410
Hg 0.963 0.364 0.262

Calculated values
formation energy from the elements	-246.3	meV/atom
symmetry	C2/m

***

No. 21
First-principles (GGA-PBE) data for a relaxed Ho4AgHg3 crystal, as listed in Alexandria.

Unit cell a=3.752 b=4.798 c=11.424 alpha=90.00 beta=90.00 gamma=90.00
Sites, in units of the cell vectors:
Ho 0.000 0.000 0.000
Ho 0.000 0.500 0.286
Ho 0.500 0.000 0.491
Ho 0.500 0.500 0.791
Ag 0.500 0.000 0.225
Hg 0.000 0.000 0.729
Hg 0.000 0.500 0.555
Hg 0.500 0.500 0.061

Calculated values
energy above the lowest structure with this stoichiometry	0.045	eV per atom
formation energy from the elements	-398.9	meV/atom
symmetry	Pmm2

***

No. 22
First-principles (GGA-PBE) data for a relaxed Ho2AgHg crystal, as listed in Alexandria.

Unit cell a=5.184 b=3.655 c=10.372 alpha=90.00 beta=90.00 gamma=90.00
Sites, in units of the cell vectors:
Ho 0.250 0.000 0.121
Ho 0.250 0.000 0.629
Ho 0.750 0.000 0.371
Ho 0.750 0.000 0.879
Ag 0.250 0.500 0.874
Ag 0.750 0.500 0.126
Hg 0.250 0.500 0.372
Hg 0.750 0.500 0.628

Calculated values
formation energy from the elements	-405.0	meV/atom
symmetry	Pmma